1.
# La4C PBE relaxed
# E_form	0.4	eV/f.u.
data_La4C
_chemical_formula_sum 'La4 C1'
_cell_length_a 5.344
_cell_length_b 5.344
_cell_length_c 5.344
_cell_angle_alpha 90.00
_cell_angle_beta 90.00
_cell_angle_gamma 90.00
_symmetry_space_group_name_H-M 'P m -3 m'
_symmetry_Int_Tables_number 221
_symmetry_space_group_name_Hall '-P 4 2 3'
loop_
_atom_site_label
_atom_site_type_symbol
_atom_site_fract_x
_atom_site_fract_y
_atom_site_fract_z
La1 La 0.000 0.000 0.000
La2 La 0.000 0.500 0.500
C1 C 0.500 0.500 0.500

=====

2.
# NpAlRu2 PBE relaxed
# E_form	-1.3	eV/f.u.
data_NpAlRu2
_chemical_formula_sum 'Np1 Al1 Ru2'
_cell_length_a 3.098
_cell_length_b 3.098
_cell_length_c 6.675
_cell_angle_alpha 90.00
_cell_angle_beta 90.00
_cell_angle_gamma 90.00
_symmetry_space_group_name_H-M 'P 4/m m m'
_symmetry_Int_Tables_number 123
_symmetry_space_group_name_Hall '-P 4 2'
loop_
_atom_site_label
_atom_site_type_symbol
_atom_site_fract_x
_atom_site_fract_y
_atom_site_fract_z
Np1 Np 0.000 0.000 0.000
Al1 Al 0.000 0.000 0.500
Ru1 Ru 0.500 0.500 0.276

=====

Number 1: total energy -0.20986 Ha/atom. Number 2: total energy -0.33521 Ha/atom.